Record 1
{
  "formula": "Ba5Hg2I",
  "functional": "PBE",
  "state": "relaxed",
  "formation_energy_uncorrected_mev_per_atom": -567,
  "space_group": "I4/mcm",
  "energy_ev_per_cell": -32.61,
  "magmom_total_mub_per_fu": 0.000,
  "lattice": [[8.766, 0.000, -4.138], [-1.953, 8.546, -4.138], [-0.522, -0.655, 10.248]],
  "species": ["Ba", "Ba", "Ba", "Ba", "Ba", "Ba", "Ba", "Ba", "Ba", "Ba", "Hg", "Hg", "Hg", "Hg", "I", "I"],
  "frac_coords": [[0.515, 0.708, 0.723], [0.792, 0.985, 0.277], [0.000, 0.000, 0.000], [0.500, 0.500, 0.000], [0.208, 0.015, 0.723], [0.708, 0.208, 0.723], [0.015, 0.515, 0.723], [0.292, 0.792, 0.277], [0.985, 0.485, 0.277], [0.485, 0.292, 0.277], [0.140, 0.360, 0.000], [0.640, 0.140, 0.000], [0.360, 0.860, 0.000], [0.860, 0.640, 0.000], [0.750, 0.750, 0.500], [0.250, 0.250, 0.500]]
}

---

Record 2
{
  "formula": "BaHgI2",
  "functional": "PBE",
  "state": "relaxed",
  "formation_energy_uncorrected_mev_per_atom": -1285,
  "space_group": "R-3m",
  "energy_ev_per_cell": -10.47,
  "e_above_lowest_polymorph_mev_per_atom": 0.6,
  "magmom_total_mub_per_fu": 0.000,
  "lattice": [[-3.473, 0.665, 3.823], [1.358, -0.925, 4.941], [2.143, 9.242, 3.886]],
  "species": ["I", "I", "Hg", "Ba"],
  "frac_coords": [[0.273, 0.273, 0.181], [0.727, 0.727, 0.819], [0.500, 0.500, 0.500], [0.000, 0.000, 0.000]]
}

---

Record 3
{
  "formula": "Ba4Hg2I",
  "functional": "PBE",
  "state": "relaxed",
  "formation_energy_uncorrected_mev_per_atom": -636,
  "space_group": "I-42d",
  "energy_ev_per_cell": -28.60,
  "magmom_total_mub_per_fu": 0.000,
  "lattice": [[-8.351, 0.722, -3.953], [5.304, -5.462, -5.284], [-0.592, -3.747, 8.456]],
  "species": ["I", "I", "Ba", "Ba", "Ba", "Ba", "Ba", "Ba", "Ba", "Ba", "Hg", "Hg", "Hg", "Hg"],
  "frac_coords": [[0.000, 0.000, 0.000], [0.750, 0.500, 0.250], [0.138, 0.888, 0.385], [0.615, 0.753, 0.503], [0.999, 0.612, 0.747], [0.253, 0.253, 0.865], [0.612, 0.747, 0.001], [0.751, 0.247, 0.862], [0.497, 0.112, 0.249], [0.135, 0.388, 0.388], [0.875, 0.106, 0.481], [0.519, 0.394, 0.625], [0.375, 0.894, 0.769], [0.231, 0.606, 0.125]]
}

---

Copy entry 1 word for word.
{
  "formula": "Ba5Hg2I",
  "functional": "PBE",
  "state": "relaxed",
  "formation_energy_uncorrected_mev_per_atom": -567,
  "space_group": "I4/mcm",
  "energy_ev_per_cell": -32.61,
  "magmom_total_mub_per_fu": 0.000,
  "lattice": [[8.766, 0.000, -4.138], [-1.953, 8.546, -4.138], [-0.522, -0.655, 10.248]],
  "species": ["Ba", "Ba", "Ba", "Ba", "Ba", "Ba", "Ba", "Ba", "Ba", "Ba", "Hg", "Hg", "Hg", "Hg", "I", "I"],
  "frac_coords": [[0.515, 0.708, 0.723], [0.792, 0.985, 0.277], [0.000, 0.000, 0.000], [0.500, 0.500, 0.000], [0.208, 0.015, 0.723], [0.708, 0.208, 0.723], [0.015, 0.515, 0.723], [0.292, 0.792, 0.277], [0.985, 0.485, 0.277], [0.485, 0.292, 0.277], [0.140, 0.360, 0.000], [0.640, 0.140, 0.000], [0.360, 0.860, 0.000], [0.860, 0.640, 0.000], [0.750, 0.750, 0.500], [0.250, 0.250, 0.500]]
}

---

Copy entry 2 word for word.
{
  "formula": "BaHgI2",
  "functional": "PBE",
  "state": "relaxed",
  "formation_energy_uncorrected_mev_per_atom": -1285,
  "space_group": "R-3m",
  "energy_ev_per_cell": -10.47,
  "e_above_lowest_polymorph_mev_per_atom": 0.6,
  "magmom_total_mub_per_fu": 0.000,
  "lattice": [[-3.473, 0.665, 3.823], [1.358, -0.925, 4.941], [2.143, 9.242, 3.886]],
  "species": ["I", "I", "Hg", "Ba"],
  "frac_coords": [[0.273, 0.273, 0.181], [0.727, 0.727, 0.819], [0.500, 0.500, 0.500], [0.000, 0.000, 0.000]]
}